Entry 1:
Density functional theory data (PBE) for Tm2ScAg3Se6 after structural relaxation.

Cell and atoms, written as POSCAR:
```
Tm2ScAg3Se6
1.0
3.518 -6.098 0.000
3.518 6.098 0.000
-2.339 0.000 6.545
Tm Sc Ag Se
2 1 3 6
Cartesian
3.518 4.074 0.000 Tm
3.518 -4.074 0.000 Tm
3.518 0.000 0.000 Sc
-1.170 0.000 3.273 Ag
2.349 2.091 3.273 Ag
2.349 -2.091 3.273 Ag
0.042 1.976 4.987 Se
1.244 0.000 1.552 Se
0.042 -1.976 4.987 Se
4.656 1.976 1.558 Se
3.454 0.000 4.994 Se
4.656 -1.976 1.558 Se
```

SG: No. 12
Calculated volume: 23.41 Å³/atom
E: -0.178 Ha/atom

=====

Entry 2:
Density functional theory data (PBE) for Sc3UAg3Se8 after structural relaxation.

Cell and atoms, written as POSCAR:
```
Sc3UAg3Se8
1.0
6.874 -3.988 0.000
6.874 3.988 0.000
-4.582 0.000 6.517
Sc U Ag Se
3 1 3 8
Cartesian
0.000 0.000 0.000 Sc
1.146 1.994 3.259 Sc
1.146 -1.994 3.259 Sc
6.874 0.000 0.000 U
3.437 1.994 0.000 Ag
3.437 -1.994 0.000 Ag
4.583 0.000 3.259 Ag
3.340 2.067 4.883 Se
2.195 0.000 1.669 Se
0.057 0.000 4.773 Se
5.826 2.067 1.634 Se
3.340 -2.067 4.883 Se
9.109 0.000 1.744 Se
6.970 0.000 4.848 Se
5.826 -2.067 1.634 Se
```

SG: No. 12
D(E_F): 0.385 states/eV per atom
Calculated volume: 23.82 Å³/atom
E: -0.202 Ha/atom

=====

Entry 3:
Density functional theory data (PBE) for ScUAgSe4 after structural relaxation.

Cell and atoms, written as POSCAR:
```
ScUAgSe4
1.0
-3.998 4.199 5.684
3.998 -4.199 5.684
3.998 4.199 -5.684
Sc U Ag Se
2 2 2 8
Cartesian
-1.999 2.099 2.842 Sc
1.999 2.099 2.842 Sc
0.000 0.000 0.000 U
0.000 4.199 0.000 U
3.998 2.099 -1.603 Ag
0.000 2.099 7.287 Ag
1.913 2.099 0.111 Se
2.085 -2.099 5.795 Se
0.000 0.234 2.813 Se
3.998 0.234 2.871 Se
0.000 3.965 2.813 Se
3.998 3.965 2.871 Se
1.913 6.298 -0.111 Se
2.085 2.099 5.573 Se
```

SG: No. 74
D(E_F): 0.704 states/eV per atom
Calculated volume: 27.26 Å³/atom
E: -0.222 Ha/atom